# GGA-PBE TcAuBr2, relaxed
data_TcAuBr2
_space_group_name_H-M_alt 'P 4/m m m'
_space_group_IT_number 123
_space_group_name_Hall '-P 4 2'
_cell_length_a 3.5393
_cell_length_b 3.5393
_cell_length_c 6.8623
_cell_angle_alpha 90.00
_cell_angle_beta 90.00
_cell_angle_gamma 90.00
loop_
_atom_site_label
_atom_site_type_symbol
_atom_site_fract_x
_atom_site_fract_y
_atom_site_fract_z
Tc1 Tc 0.0000 0.0000 0.0000
Au1 Au 0.0000 0.0000 0.5000
Br1 Br 0.5000 0.5000 0.2346
# uncorrected energy: -3.49 eV per atom
# distance to the lowest polymorph of the same formula: 564 meV per atom
# ΔE_f (raw): 0.76 eV per atom



# GGA-PBE TcAuBr2, relaxed
data_TcAuBr2
_space_group_name_H-M_alt 'C m m 2'
_space_group_IT_number 35
_cell_length_a 3.8436
_cell_length_b 6.2983
_cell_length_c 9.0180
_cell_angle_alpha 90.00
_cell_angle_beta 90.00
_cell_angle_gamma 90.00
loop_
_space_group_symop_operation_xyz
'x,y,z'
'-x,-y,z'
'-x,y,z'
'x,-y,z'
'x+1/2,y+1/2,z'
'-x+1/2,-y+1/2,z'
'-x+1/2,y+1/2,z'
'x+1/2,-y+1/2,z'
loop_
_atom_site_label
_atom_site_type_symbol
_atom_site_fract_x
_atom_site_fract_y
_atom_site_fract_z
Tc1 Tc 0.0000 0.0000 0.0000
Au1 Au 0.0000 0.5000 0.8021
Br1 Br 0.0000 0.0000 0.6012
Br2 Br 0.0000 0.5000 0.2005
# uncorrected energy: -3.86 eV per atom
# distance to the lowest polymorph of the same formula: 189 meV per atom
# ΔE_f (raw): 0.38 eV per atom



# GGA-PBE TcAuBr6, relaxed
data_TcAuBr6
_space_group_name_H-M_alt 'C 1 2/m 1'
_space_group_IT_number 12
_cell_length_a 7.4580
_cell_length_b 11.3617
_cell_length_c 7.4009
_cell_angle_alpha 90.00
_cell_angle_beta 118.55
_cell_angle_gamma 90.00
loop_
_space_group_symop_operation_xyz
'x,y,z'
'-x,-y,-z'
'-x,y,-z'
'x,-y,z'
'x+1/2,y+1/2,z'
'-x+1/2,-y+1/2,-z'
'-x+1/2,y+1/2,-z'
'x+1/2,-y+1/2,z'
loop_
_atom_site_label
_atom_site_type_symbol
_atom_site_fract_x
_atom_site_fract_y
_atom_site_fract_z
Tc1 Tc 0.0000 0.0000 0.0000
Au1 Au 0.0000 0.0000 0.5000
Br1 Br 0.0109 0.1581 0.7585
Br2 Br 0.1221 0.5000 0.8052
# uncorrected energy: -3.19 eV per atom
# ΔE_f (raw): -0.23 eV per atom



# GGA-PBE TcAuBr2, relaxed
data_TcAuBr2
_space_group_name_H-M_alt 'I m m m'
_space_group_IT_number 71
_space_group_name_Hall '-I 2 2'
_cell_length_a 3.0754
_cell_length_b 4.8410
_cell_length_c 14.2093
_cell_angle_alpha 90.00
_cell_angle_beta 90.00
_cell_angle_gamma 90.00
loop_
_atom_site_label
_atom_site_type_symbol
_atom_site_fract_x
_atom_site_fract_y
_atom_site_fract_z
Tc1 Tc 0.0000 0.0000 0.0000
Au1 Au 0.0000 0.0000 0.5000
Br1 Br 0.0000 0.5000 0.3550
# uncorrected energy: -4.05 eV per atom
# distance to the lowest polymorph of the same formula: 7 meV per atom
# ΔE_f (raw): 0.20 eV per atom



# GGA-PBE TcAu3Br, relaxed
data_TcAu3Br
_space_group_name_H-M_alt 'P m -3 m'
_space_group_IT_number 221
_space_group_name_Hall '-P 4 2 3'
_cell_length_a 5.1068
_cell_length_b 5.1068
_cell_length_c 5.1068
_cell_angle_alpha 90.00
_cell_angle_beta 90.00
_cell_angle_gamma 90.00
loop_
_atom_site_label
_atom_site_type_symbol
_atom_site_fract_x
_atom_site_fract_y
_atom_site_fract_z
Tc1 Tc 0.0000 0.0000 0.0000
Au1 Au 0.0000 0.5000 0.5000
Br1 Br 0.5000 0.5000 0.5000
# uncorrected energy: -2.75 eV per atom
# distance to the lowest polymorph of the same formula: 441 meV per atom
# ΔE_f (raw): 1.62 eV per atom



# GGA-PBE Tc3AuBr, relaxed
data_Tc3AuBr
_space_group_name_H-M_alt 'P m -3 m'
_space_group_IT_number 221
_space_group_name_Hall '-P 4 2 3'
_cell_length_a 4.5419
_cell_length_b 4.5419
_cell_length_c 4.5419
_cell_angle_alpha 90.00
_cell_angle_beta 90.00
_cell_angle_gamma 90.00
loop_
_atom_site_label
_atom_site_type_symbol
_atom_site_fract_x
_atom_site_fract_y
_atom_site_fract_z
Tc1 Tc 0.0000 0.0000 0.5000
Au1 Au 0.5000 0.5000 0.5000
Br1 Br 0.0000 0.0000 0.0000
# uncorrected energy: -5.62 eV per atom
# distance to the lowest polymorph of the same formula: 0 meV per atom
# ΔE_f (raw): 1.59 eV per atom



# GGA-PBE TcAuBr2, relaxed
data_TcAuBr2
_space_group_name_H-M_alt 'P 1 m 1'
_space_group_IT_number 6
_cell_length_a 4.5115
_cell_length_b 3.1649
_cell_length_c 7.8228
_cell_angle_alpha 90.00
_cell_angle_beta 106.66
_cell_angle_gamma 90.00
loop_
_space_group_symop_operation_xyz
'x,y,z'
'x,-y,z'
loop_
_atom_site_label
_atom_site_type_symbol
_atom_site_fract_x
_atom_site_fract_y
_atom_site_fract_z
Tc1 Tc 0.0000 0.0000 0.0000
Au1 Au 0.4706 0.5000 0.9410
Br1 Br 0.1315 0.5000 0.2646
Br2 Br 0.8388 0.0000 0.6758
# uncorrected energy: -4.05 eV per atom
# distance to the lowest polymorph of the same formula: 0 meV per atom
# ΔE_f (raw): 0.19 eV per atom



# GGA-PBE TcAu2Br8, relaxed
data_TcAu2Br8
_space_group_name_H-M_alt 'P -1'
_space_group_IT_number 2
_cell_length_a 7.2785
_cell_length_b 7.5895
_cell_length_c 8.1093
_cell_angle_alpha 82.90
_cell_angle_beta 73.74
_cell_angle_gamma 73.31
loop_
_space_group_symop_operation_xyz
'x,y,z'
'-x,-y,-z'
loop_
_atom_site_label
_atom_site_type_symbol
_atom_site_fract_x
_atom_site_fract_y
_atom_site_fract_z
Tc1 Tc 0.0000 0.0000 0.0000
Au1 Au 0.2262 0.5551 0.2824
Br1 Br 0.0543 0.1176 0.2501
Br2 Br 0.0680 0.2937 0.8177
Br3 Br 0.3678 0.8563 0.9096
Br4 Br 0.4746 0.6040 0.6304
# uncorrected energy: -2.92 eV per atom
# ΔE_f (raw): -0.16 eV per atom



# GGA-PBE Tc2AuBr2, relaxed
data_Tc2AuBr2
_space_group_name_H-M_alt 'I 4/m m m'
_space_group_IT_number 139
_space_group_name_Hall '-I 4 2'
_cell_length_a 4.3918
_cell_length_b 4.3918
_cell_length_c 11.0777
_cell_angle_alpha 90.00
_cell_angle_beta 90.00
_cell_angle_gamma 90.00
loop_
_atom_site_label
_atom_site_type_symbol
_atom_site_fract_x
_atom_site_fract_y
_atom_site_fract_z
Tc1 Tc 0.0000 0.0000 0.0944
Au1 Au 0.0000 0.0000 0.5000
Br1 Br 0.0000 0.5000 0.2500
# uncorrected energy: -4.69 eV per atom
# distance to the lowest polymorph of the same formula: 351 meV per atom
# ΔE_f (raw): 0.78 eV per atom



# GGA-PBE Tc4AuBr, relaxed
data_Tc4AuBr
_space_group_name_H-M_alt 'F -4 3 m'
_space_group_IT_number 216
_space_group_name_Hall 'F -4 2 3'
_cell_length_a 7.4035
_cell_length_b 7.4035
_cell_length_c 7.4035
_cell_angle_alpha 90.00
_cell_angle_beta 90.00
_cell_angle_gamma 90.00
loop_
_atom_site_label
_atom_site_type_symbol
_atom_site_fract_x
_atom_site_fract_y
_atom_site_fract_z
Tc1 Tc 0.1240 0.1240 0.3760
Au1 Au 0.0000 0.0000 0.0000
Br1 Br 0.2500 0.2500 0.7500
# uncorrected energy: -6.81 eV per atom
# ΔE_f (raw): 0.92 eV per atom



# GGA-PBE TcAuBr2, relaxed
data_TcAuBr2
_space_group_name_H-M_alt 'I -4 2 d'
_space_group_IT_number 122
_space_group_name_Hall 'I -4 2bw'
_cell_length_a 8.8148
_cell_length_b 8.8148
_cell_length_c 5.3603
_cell_angle_alpha 90.00
_cell_angle_beta 90.00
_cell_angle_gamma 90.00
loop_
_atom_site_label
_atom_site_type_symbol
_atom_site_fract_x
_atom_site_fract_y
_atom_site_fract_z
Tc1 Tc 0.0000 0.0000 0.0000
Au1 Au 0.0000 0.0000 0.5000
Br1 Br 0.1054 0.2500 0.1250
# uncorrected energy: -3.85 eV per atom
# distance to the lowest polymorph of the same formula: 203 meV per atom
# ΔE_f (raw): 0.40 eV per atom



# GGA-PBE TcAuBr2, relaxed
data_TcAuBr2
_space_group_name_H-M_alt 'I 4/m m m'
_space_group_IT_number 139
_space_group_name_Hall '-I 4 2'
_cell_length_a 4.7522
_cell_length_b 4.7522
_cell_length_c 7.8857
_cell_angle_alpha 90.00
_cell_angle_beta 90.00
_cell_angle_gamma 90.00
loop_
_atom_site_label
_atom_site_type_symbol
_atom_site_fract_x
_atom_site_fract_y
_atom_site_fract_z
Tc1 Tc 0.0000 0.0000 0.0000
Au1 Au 0.0000 0.0000 0.5000
Br1 Br 0.0000 0.5000 0.2500
# uncorrected energy: -3.44 eV per atom
# distance to the lowest polymorph of the same formula: 613 meV per atom
# ΔE_f (raw): 0.81 eV per atom



# GGA-PBE TcAu4Br, relaxed
data_TcAu4Br
_space_group_name_H-M_alt 'F -4 3 m'
_space_group_IT_number 216
_space_group_name_Hall 'F -4 2 3'
_cell_length_a 7.8938
_cell_length_b 7.8938
_cell_length_c 7.8938
_cell_angle_alpha 90.00
_cell_angle_beta 90.00
_cell_angle_gamma 90.00
loop_
_atom_site_label
_atom_site_type_symbol
_atom_site_fract_x
_atom_site_fract_y
_atom_site_fract_z
Tc1 Tc 0.0000 0.0000 0.0000
Au1 Au 0.1251 0.1251 0.6251
Br1 Br 0.2500 0.2500 0.2500
# uncorrected energy: -3.61 eV per atom
# ΔE_f (raw): 0.58 eV per atom



Number 1: total magnetic moment 3.79 μB per cell. Number 2: total magnetic moment 7.45 μB per cell. Number 3: total magnetic moment 5.78 μB per cell. Number 4: total magnetic moment 2.44 μB per cell. Number 5: total magnetic moment 4.70 μB per cell. Number 6: total magnetic moment 1.36 μB per cell. Number 7: total magnetic moment 1.52 μB per cell. Number 8: total magnetic moment 3.00 μB per cell. Number 9: total magnetic moment 1.50 μB per cell. Number 10: total magnetic moment 0.00 μB per cell. Number 11: total magnetic moment 0.00 μB per cell. Number 12: total magnetic moment 8.25 μB per cell. Number 13: total magnetic moment 16.54 μB per cell.